Compound: AlSe
Source: the Alexandria database
Functional: PBE
Structure: optimized geometry

Values from the calculation:
Its uncorrected formation energy is -0.67 eV per formula unit. The calculation puts the total energy at -3.95 eV per atom. The calculation puts the density of states at the Fermi level at 4.851 states/eV per cell.

abc: 3.842 11.387 3.666
angles: 90.00 90.00 90.00
Space group Cmcm (No. 63)
One atom of each set of equivalent atoms:
Al 0.000 0.115 0.250
Se 0.000 0.351 0.250